10
Lattice="7.965 0.000 0.000 0.000 7.965 0.000 0.000 0.000 2.902" Properties=species:S:1:pos:R:3 comment="Cr2SiHg2 | Alexandria via LeMat-Bulk | PBE | optimized geometry" dos_at_fermi_per_ev_atom=0.690 relative_energy_ev_per_atom=0.059 e_form_raw_ev_per_fu=4.0 pbc="T T T"
Cr 0.665 3.317 0.000
Cr 3.317 7.300 0.000
Cr 4.647 0.665 0.000
Cr 7.300 4.647 0.000
Si 0.000 0.000 1.451
Si 3.982 3.982 1.451
Hg 1.620 5.602 1.451
Hg 2.362 1.620 1.451
Hg 5.602 6.345 1.451
Hg 6.345 2.362 1.451


4
Lattice="2.118 1.223 5.795 -2.118 1.223 5.795 0.000 -2.446 5.795" Properties=species:S:1:pos:R:3 comment="BaFe2Ru | Alexandria via LeMat-Bulk | PBE | optimized geometry" formation_energy_kcal_per_mol_atoms=8.28 dos_at_fermi_per_ev_atom=0.916 pbc="T T T"
Ba 0.000 0.000 0.000
Fe 0.000 0.000 3.277
Fe 0.000 0.000 14.107
Ru 0.000 0.000 8.692


7
Lattice="-1.801 1.801 14.878 1.801 -1.801 14.878 1.801 1.801 -14.878" Properties=species:S:1:pos:R:3 comment="Dy3Y2Ag2 | Alexandria via LeMat-Bulk | PBE | optimized geometry" formation_energy_kcal_per_mol_atoms=-3.87 dos_at_fermi_per_ev_atom=0.984 relative_energy_ev_per_atom=0.000 pbc="T T T"
Dy 0.000 0.000 0.000
Dy 0.000 0.000 3.679
Dy 0.000 0.000 26.077
Y 0.000 0.000 8.691
Y 0.000 0.000 21.065
Ag 0.000 0.000 13.046
Ag 0.000 0.000 16.710


Copy entry 1 word for word.
10
Lattice="7.965 0.000 0.000 0.000 7.965 0.000 0.000 0.000 2.902" Properties=species:S:1:pos:R:3 comment="Cr2SiHg2 | Alexandria via LeMat-Bulk | PBE | optimized geometry" dos_at_fermi_per_ev_atom=0.690 relative_energy_ev_per_atom=0.059 e_form_raw_ev_per_fu=4.0 pbc="T T T"
Cr 0.665 3.317 0.000
Cr 3.317 7.300 0.000
Cr 4.647 0.665 0.000
Cr 7.300 4.647 0.000
Si 0.000 0.000 1.451
Si 3.982 3.982 1.451
Hg 1.620 5.602 1.451
Hg 2.362 1.620 1.451
Hg 5.602 6.345 1.451
Hg 6.345 2.362 1.451